VASP calculation (PBE) on a relaxed structure of Tm2PaRh4.

extended XYZ file:
```
7
Lattice="-4.254 2.429 -1.316 -3.602 -1.294 -3.329 -7.464 -2.865 2.880" Properties=species:S:1:pos:R:3 pbc="T T T"
Tm -11.722 -1.096 -1.771
Tm -3.598 -0.634 0.007
Pa 0.000 0.000 0.000
Rh -9.344 -0.077 -2.885
Rh -5.976 -1.653 1.121
Rh -5.633 0.340 -2.453
Rh -9.687 -2.070 0.689
```

The calculation puts the density of states at the Fermi level at 2.52 states/eV/cell. The energy of formation from the pure elements comes out at -0.760 eV/atom.